No. 1
# Ba2Au (PBE, relaxed)
# electronic total energy = -34.09 eV for the cell shown
data_Ba2Au
_chemical_formula_sum 'Ba8 Au4'
_cell_length_a 4.772
_cell_length_b 18.459
_cell_length_c 6.797
_cell_angle_alpha 90.00
_cell_angle_beta 90.00
_cell_angle_gamma 90.00
_symmetry_space_group_name_H-M 'C m c m'
_symmetry_Int_Tables_number 63
_symmetry_space_group_name_Hall '-C 2c 2'
loop_
_atom_site_label
_atom_site_type_symbol
_atom_site_fract_x
_atom_site_fract_y
_atom_site_fract_z
Ba1 Ba 0.000 0.072 0.250
Ba2 Ba 0.000 0.316 0.250
Au1 Au 0.000 0.309 0.750



No. 2
# TcAg2SnRu (PBE, relaxed)
# electronic total energy = -21.12 eV for the cell shown
data_TcAg2SnRu
_chemical_formula_sum 'Tc1 Ag2 Sn1 Ru1'
_cell_length_a 5.006
_cell_length_b 5.006
_cell_length_c 4.993
_cell_angle_alpha 90.00
_cell_angle_beta 90.00
_cell_angle_gamma 90.00
_symmetry_space_group_name_H-M 'P 4/m m m'
_symmetry_Int_Tables_number 123
_symmetry_space_group_name_Hall '-P 4 2'
loop_
_atom_site_label
_atom_site_type_symbol
_atom_site_fract_x
_atom_site_fract_y
_atom_site_fract_z
Tc1 Tc 0.000 0.000 0.000
Ag1 Ag 0.000 0.500 0.500
Sn1 Sn 0.500 0.500 0.500
Ru1 Ru 0.500 0.500 0.000



No. 3
# Sr7Au (PBE, relaxed)
# electronic total energy = -60.12 eV for the cell shown
data_Sr7Au
_chemical_formula_sum 'Sr28 Au4'
_cell_length_a 11.451
_cell_length_b 11.451
_cell_length_c 11.451
_cell_angle_alpha 90.00
_cell_angle_beta 90.00
_cell_angle_gamma 90.00
_symmetry_space_group_name_H-M 'F m -3 m'
_symmetry_Int_Tables_number 225
_symmetry_space_group_name_Hall '-F 4 2 3'
loop_
_atom_site_label
_atom_site_type_symbol
_atom_site_fract_x
_atom_site_fract_y
_atom_site_fract_z
Sr1 Sr 0.000 0.000 0.000
Sr2 Sr 0.000 0.250 0.250
Au1 Au 0.000 0.000 0.500